No. 1
## Li4AlCd (PBE-GGA)

Data for Li4AlCd after structural relaxation.

Properties
Its calculated formation energy is -0.023 eV/atom. The energy above the most stable polymorph in this dataset comes out at 144 meV/atom. For the density of states at the Fermi level, the calculation gives 0.512 states/eV/atom.

a b c (Å): 5.212 5.212 5.212
angles (deg): 60.00 60.00 60.00
Fractional positions:
Li 0.124 0.124 0.124
Li 0.124 0.124 0.627
Li 0.124 0.627 0.124
Li 0.627 0.124 0.124
Al 0.750 0.750 0.750
Cd 0.500 0.500 0.500

***

No. 2
## Li4AlCd (PBE-GGA)

Data for Li4AlCd after structural relaxation.

Properties
Its calculated formation energy is -0.168 eV/atom. The energy above the most stable polymorph in this dataset comes out at 0 meV/atom. For the density of states at the Fermi level, the calculation gives 0.430 states/eV/atom.

a b c (Å): 5.363 5.363 4.624
angles (deg): 115.42 115.42 95.86
Fractional positions:
Li 0.081 0.413 0.247
Li 0.413 0.081 0.247
Li 0.587 0.919 0.753
Li 0.919 0.587 0.753
Al 0.000 0.000 0.500
Cd 0.500 0.500 0.000

***

No. 3
## Li3AlCd3 (PBE-GGA)

Data for Li3AlCd3 after structural relaxation.

Properties
Its calculated formation energy is -0.122 eV/atom. For the density of states at the Fermi level, the calculation gives 0.349 states/eV/atom.

a b c (Å): 6.673 6.673 6.257
angles (deg): 90.00 90.00 92.28
Fractional positions:
Li 0.203 0.203 0.500
Li 0.228 0.228 0.000
Li 0.245 0.755 0.000
Li 0.755 0.245 0.000
Li 0.772 0.772 0.000
Li 0.797 0.797 0.500
Al 0.237 0.763 0.500
Al 0.763 0.237 0.500
Cd 0.000 0.500 0.247
Cd 0.000 0.500 0.753
Cd 0.500 0.000 0.247
Cd 0.500 0.000 0.753
Cd 0.500 0.500 0.254
Cd 0.500 0.500 0.746

***

No. 4
## LiAlCd2 (PBE-GGA)

Data for LiAlCd2 after structural relaxation.

Properties
Its calculated formation energy is -0.073 eV/atom. For the density of states at the Fermi level, the calculation gives 0.263 states/eV/atom.

a b c (Å): 5.230 5.230 5.230
angles (deg): 132.08 132.08 70.11
Fractional positions:
Li 0.000 0.000 0.000
Al 0.750 0.250 0.500
Cd 0.250 0.750 0.500
Cd 0.500 0.500 0.000

***

No. 5
## LiAlCd2 (PBE-GGA)

Data for LiAlCd2 after structural relaxation.

Properties
Its calculated formation energy is -0.045 eV/atom. For the density of states at the Fermi level, the calculation gives 0.193 states/eV/atom.

a b c (Å): 3.075 3.075 9.495
angles (deg): 90.00 90.00 120.00
Fractional positions:
Li 0.000 0.000 0.000
Al 0.000 0.000 0.500
Cd 0.333 0.667 0.244
Cd 0.667 0.333 0.756

***

No. 6
## Li2AlCd5 (PBE-GGA)

Data for Li2AlCd5 after structural relaxation.

Properties
Its calculated formation energy is -0.120 eV/atom. For the density of states at the Fermi level, the calculation gives 0.343 states/eV/atom.

a b c (Å): 5.993 12.191 4.358
angles (deg): 90.00 90.00 90.00
Fractional positions:
Li 0.237 0.125 0.000
Li 0.263 0.625 0.000
Li 0.737 0.375 0.000
Li 0.763 0.875 0.000
Al 0.000 0.500 0.500
Al 0.500 0.000 0.500
Cd 0.000 0.000 0.500
Cd 0.021 0.745 0.500
Cd 0.234 0.380 0.000
Cd 0.266 0.880 0.000
Cd 0.479 0.245 0.500
Cd 0.500 0.500 0.500
Cd 0.521 0.755 0.500
Cd 0.734 0.120 0.000
Cd 0.766 0.620 0.000
Cd 0.979 0.255 0.500